Entry 1:
AlGa3Pt4 (PBE, optimized geometry); electronic total energy = -43.0 eV per cell
1.0
3.5064 2.0244 2.8590
-3.5064 2.0244 2.8590
0.0000 -4.0489 2.8590
Al Ga Pt
1 3 4
Direct
0.0000 0.0000 0.0000 Al
0.3132 0.5003 0.8163 Ga
0.5003 0.8163 0.3132 Ga
0.8163 0.3132 0.5003 Ga
0.0078 0.8091 0.5085 Pt
0.3045 0.3045 0.3045 Pt
0.5085 0.0078 0.8091 Pt
0.8091 0.5085 0.0078 Pt

=====

Entry 2:
Nd6Fe13Sn (PBE, optimized geometry); electronic total energy = -284.8 eV per cell
1.0
-4.0050 4.0050 11.6806
4.0050 -4.0050 11.6806
4.0050 4.0050 -11.6806
Nd Fe Sn
12 26 2
Direct
0.0217 0.5217 0.1729 Nd
0.1049 0.1049 0.0000 Nd
0.1512 0.9783 0.5000 Nd
0.3488 0.8488 0.8271 Nd
0.3951 0.3951 0.0000 Nd
0.4783 0.6512 0.5000 Nd
0.5217 0.3488 0.5000 Nd
0.6049 0.6049 0.0000 Nd
0.6512 0.1512 0.1729 Nd
0.8488 0.0217 0.5000 Nd
0.8951 0.8951 0.0000 Nd
0.9783 0.4783 0.8271 Nd
0.0000 0.5000 0.5000 Fe
0.0194 0.2932 0.5000 Fe
0.0667 0.2096 0.2764 Fe
0.1203 0.6203 0.8578 Fe
0.2068 0.4806 0.5000 Fe
0.2096 0.9333 0.1429 Fe
0.2376 0.7376 0.8578 Fe
0.2624 0.1203 0.5000 Fe
0.2904 0.4333 0.7236 Fe
0.2932 0.7932 0.2738 Fe
0.3797 0.2376 0.5000 Fe
0.4333 0.7096 0.1429 Fe
0.4806 0.9806 0.2738 Fe
0.5000 0.0000 0.5000 Fe
0.5194 0.0194 0.7262 Fe
0.5667 0.2904 0.8571 Fe
0.6203 0.7624 0.5000 Fe
0.7068 0.2068 0.7262 Fe
0.7096 0.5667 0.2764 Fe
0.7376 0.8797 0.5000 Fe
0.7624 0.2624 0.1422 Fe
0.7904 0.0667 0.8571 Fe
0.7932 0.5194 0.5000 Fe
0.8797 0.3797 0.1422 Fe
0.9333 0.7904 0.7236 Fe
0.9806 0.7068 0.5000 Fe
0.2500 0.2500 0.0000 Sn
0.7500 0.7500 0.0000 Sn

=====

Entry 3:
SrGdNO (PBE, optimized geometry); ΔE to the lowest computed polymorph = 24 kJ/mol of formula units
1.0
4.1834 0.0000 0.0000
0.0000 7.2006 0.0000
0.0000 0.0000 5.0476
Sr Gd N O
2 2 2 2
Direct
0.0000 0.1676 0.0000 Sr
0.0000 0.8324 0.5000 Sr
0.5000 0.3417 0.5039 Gd
0.5000 0.6583 0.0039 Gd
0.5000 0.3505 0.9888 N
0.5000 0.6495 0.4888 N
0.0000 0.1926 0.4971 O
0.0000 0.8074 0.9971 O

=====

Entry 4:
Cs2NiGeCl6 (PBE, optimized geometry); electronic total energy = -35.1 eV per cell
1.0
0.0000 5.1194 5.1194
5.1194 0.0000 5.1194
5.1194 5.1194 0.0000
Cs Ni Ge Cl
2 1 1 6
Direct
0.2500 0.2500 0.2500 Cs
0.7500 0.7500 0.7500 Cs
0.0000 0.0000 0.0000 Ni
0.5000 0.5000 0.5000 Ge
0.2394 0.2394 0.7606 Cl
0.2394 0.7606 0.2394 Cl
0.2394 0.7606 0.7606 Cl
0.7606 0.2394 0.2394 Cl
0.7606 0.2394 0.7606 Cl
0.7606 0.7606 0.2394 Cl

=====

Entry 5:
La2PmTl (PBE, optimized geometry); electronic total energy = -17.9 eV per cell
1.0
4.9614 0.0000 0.0000
0.0000 4.9614 0.0000
0.0000 0.0000 5.1331
La Pm Tl
2 1 1
Direct
0.0000 0.5000 0.0000 La
0.5000 0.0000 0.0000 La
0.0000 0.0000 0.5000 Pm
0.5000 0.5000 0.5000 Tl

=====

Entry 6:
TlCuTcSe3 (PBE, optimized geometry); ΔE to the lowest computed polymorph = 2 kJ/mol of formula units
1.0
14.2705 0.0000 0.0000
0.0000 3.7813 0.0000
0.0000 0.0000 10.0183
Tl Cu Tc Se
4 4 4 12
Direct
0.2395 0.2500 0.0598 Tl
0.2605 0.7500 0.5598 Tl
0.7395 0.2500 0.4402 Tl
0.7605 0.7500 0.9402 Tl
0.0140 0.7500 0.0988 Cu
0.4860 0.2500 0.5988 Cu
0.5140 0.7500 0.4012 Cu
0.9860 0.2500 0.9012 Cu
0.0113 0.2500 0.3208 Tc
0.4887 0.7500 0.8208 Tc
0.5113 0.2500 0.1792 Tc
0.9887 0.7500 0.6792 Tc
0.0771 0.2500 0.5629 Se
0.0972 0.7500 0.8760 Se
0.1277 0.7500 0.2738 Se
0.3723 0.2500 0.7738 Se
0.4028 0.2500 0.3760 Se
0.4229 0.7500 0.0629 Se
0.5771 0.2500 0.9371 Se
0.5972 0.7500 0.6240 Se
0.6277 0.7500 0.2262 Se
0.8723 0.2500 0.7262 Se
0.9028 0.2500 0.1240 Se
0.9229 0.7500 0.4371 Se

=====

Entry 7:
SbIrI6 (PBE, optimized geometry); ΔE to the lowest computed polymorph = 0 kJ/mol of formula units
1.0
3.7059 -6.4188 0.0000
3.7059 6.4188 0.0000
-2.3609 0.0000 7.1188
Sb Ir I
1 1 6
Direct
0.0000 0.0000 0.0000 Sb
0.6663 0.3337 0.0000 Ir
0.0263 0.3982 0.2276 I
0.2985 0.2550 0.7738 I
0.4407 0.1137 0.2233 I
0.6018 0.9737 0.7724 I
0.7450 0.7015 0.2262 I
0.8863 0.5593 0.7767 I

=====

Entry 8:
Cu2Ag3 (PBE, optimized geometry); ΔE to the lowest computed polymorph = 26 kJ/mol of formula units; ΔH_f (0 K) = 86 meV per atom
1.0
2.8444 0.0000 0.0000
0.0000 3.8355 0.0000
0.0000 0.0000 14.2342
Cu Ag
4 6
Direct
0.2500 0.2500 0.0457 Cu
0.2500 0.2500 0.2356 Cu
0.7500 0.7500 0.7644 Cu
0.7500 0.7500 0.9543 Cu
0.2500 0.2500 0.4442 Ag
0.2500 0.2500 0.6654 Ag
0.2500 0.2500 0.8615 Ag
0.7500 0.7500 0.1385 Ag
0.7500 0.7500 0.3346 Ag
0.7500 0.7500 0.5558 Ag